An optimized crystal structure of In5CuS8. Source: the Alexandria database, functional PBEsol.

Cell and atoms, written as CIF:
```
data_In5CuS8
_chemical_formula_sum 'In5 Cu1 S8'
_space_group_name_H-M_alt 'P 1'
_space_group_IT_number 1
_cell_length_a 7.541
_cell_length_b 7.541
_cell_length_c 7.541
_cell_angle_alpha 60.00
_cell_angle_beta 60.00
_cell_angle_gamma 60.00
loop_
_space_group_symop_operation_xyz
'x,y,z'
loop_
_atom_site_label
_atom_site_type_symbol
_atom_site_fract_x
_atom_site_fract_y
_atom_site_fract_z
_atom_site_occupancy
In1 In 0.381 0.381 0.381 1
In2 In 0.856 0.381 0.381 1
In3 In 0.000 0.000 0.000 1
In4 In 0.381 0.856 0.381 1
In5 In 0.381 0.381 0.856 1
Cu1 Cu 0.750 0.750 0.750 1
S1 S 0.134 0.134 0.134 1
S2 S 0.624 0.624 0.624 1
S3 S 0.128 0.624 0.624 1
S4 S 0.597 0.134 0.134 1
S5 S 0.624 0.128 0.624 1
S6 S 0.134 0.597 0.134 1
S7 S 0.624 0.624 0.128 1
S8 S 0.134 0.134 0.597 1
```

Theoretical density   4897 kg/m3
Space-group type   F-43m, No. 216
Formation energy without anion corrections   -0.5627 eV/atom
Total magnetization   0.0 μB per formula unit

---

An optimized crystal structure of InCuS2. Source: the Alexandria database, functional PBEsol.

Cell and atoms, written as CIF:
```
data_InCuS2
_chemical_formula_sum 'In1 Cu1 S2'
_space_group_name_H-M_alt 'P 1'
_space_group_IT_number 1
_cell_length_a 3.819
_cell_length_b 3.819
_cell_length_c 6.465
_cell_angle_alpha 72.82
_cell_angle_beta 72.82
_cell_angle_gamma 60.00
loop_
_space_group_symop_operation_xyz
'x,y,z'
loop_
_atom_site_label
_atom_site_type_symbol
_atom_site_fract_x
_atom_site_fract_y
_atom_site_fract_z
_atom_site_occupancy
S1 S 0.740 0.740 0.780 1
S2 S 0.239 0.239 0.283 1
Cu1 Cu 0.864 0.864 0.409 1
In1 In 0.004 0.004 0.987 1
```

Theoretical density   5245 kg/m3
Space-group type   R3m, No. 160
Formation energy without anion corrections   -0.4414 eV/atom
Total magnetization   0.0 μB per formula unit

---

An optimized crystal structure of In2CuS4. Source: the Alexandria database, functional PBEsol.

Cell and atoms, written as CIF:
```
data_In2CuS4
_chemical_formula_sum 'In4 Cu2 S8'
_space_group_name_H-M_alt 'P 1'
_space_group_IT_number 1
_cell_length_a 7.382
_cell_length_b 7.382
_cell_length_c 7.382
_cell_angle_alpha 60.00
_cell_angle_beta 60.00
_cell_angle_gamma 60.00
loop_
_space_group_symop_operation_xyz
'x,y,z'
loop_
_atom_site_label
_atom_site_type_symbol
_atom_site_fract_x
_atom_site_fract_y
_atom_site_fract_z
_atom_site_occupancy
In1 In 0.125 0.625 0.625 1
In2 In 0.625 0.125 0.625 1
In3 In 0.625 0.625 0.125 1
In4 In 0.625 0.625 0.625 1
Cu1 Cu 0.000 0.000 0.000 1
Cu2 Cu 0.250 0.250 0.250 1
S1 S 0.376 0.875 0.875 1
S2 S 0.875 0.376 0.875 1
S3 S 0.875 0.875 0.376 1
S4 S 0.875 0.875 0.875 1
S5 S 0.874 0.375 0.375 1
S6 S 0.375 0.874 0.375 1
S7 S 0.375 0.375 0.874 1
S8 S 0.375 0.375 0.375 1
```

Theoretical density   4921 kg/m3
Space-group type   Fd-3m, No. 227
Formation energy without anion corrections   -0.4385 eV/atom
Total magnetization   0.0 μB per formula unit

---

An optimized crystal structure of InCuS2. Source: the Alexandria database, functional PBEsol.

Cell and atoms, written as CIF:
```
data_InCuS2
_chemical_formula_sum 'In2 Cu2 S4'
_space_group_name_H-M_alt 'P 1'
_space_group_IT_number 1
_cell_length_a 5.482
_cell_length_b 5.482
_cell_length_c 6.743
_cell_angle_alpha 113.98
_cell_angle_beta 113.98
_cell_angle_gamma 90.00
loop_
_space_group_symop_operation_xyz
'x,y,z'
loop_
_atom_site_label
_atom_site_type_symbol
_atom_site_fract_x
_atom_site_fract_y
_atom_site_fract_z
_atom_site_occupancy
S1 S 0.408 0.875 0.250 1
S2 S 0.842 0.375 0.250 1
S3 S 0.125 0.158 0.750 1
S4 S 0.625 0.592 0.750 1
Cu1 Cu 0.750 0.250 0.500 1
Cu2 Cu 0.500 0.500 0.000 1
In1 In 0.250 0.750 0.500 1
In2 In 0.000 0.000 0.000 1
```

Theoretical density   4858 kg/m3
Space-group type   I-42d, No. 122
Formation energy without anion corrections   -0.5022 eV/atom
Total magnetization   0.0 μB per formula unit